First-principles (GGA-PBE) data for a geometry-optimized LaMg6Sc structure, as listed in the Alexandria database.

a = 4.711 Å, b = 4.711 Å, c = 9.216 Å
α = 90.00°, β = 90.00°, γ = 90.00°
Atoms (fractional coordinates):
Mg1 0.500 0.000 0.266
Mg2 0.000 0.500 0.734
Mg3 0.500 0.500 0.000
Mg4 0.000 0.500 0.266
Mg5 0.500 0.000 0.734
Mg6 0.500 0.500 0.500
La1 0.000 0.000 0.000
Sc1 0.000 0.000 0.500

Output
**N(E_F)**: 8.86 states/eV/f.u.
**Space group**: P4/mmm (123)
**Uncorrected energy**: -2.6384 eV/atom